Pm4Nd11Ho9 | PBE | optimized geometry

Cell and atoms, written as POSCAR:
```
Pm4Nd11Ho9
1.0
3.713 0.000 0.000
0.000 14.169 -6.032
0.000 0.021 15.400
Ho Nd Pm
9 11 4
Cartesian
1.857 11.191 9.633
1.857 0.934 2.863
1.857 5.209 10.664
1.857 7.095 4.684
1.857 2.337 8.768
1.857 11.854 0.599
1.857 3.000 -0.266
1.857 8.981 -1.297
1.857 13.256 6.504
0.000 0.000 0.000
0.000 5.756 -1.773
0.000 4.116 2.717
0.000 5.209 7.541
0.000 10.074 6.650
0.000 8.981 1.826
0.000 13.559 3.378
0.000 2.280 11.979
0.000 11.911 -2.611
0.000 8.435 11.141
0.000 0.632 5.989
1.857 6.313 1.064
1.857 3.459 5.387
1.857 7.878 8.303
1.857 10.731 3.981
```

Values from the calculation:
Energy of formation, meV/atom: 61
Fermi-level density of states, states/eV/atom: 1.28